{
  "formula": "K2RbHg",
  "functional": "GGA-PBE",
  "state": "optimized geometry",
  "lattice_angstrom": [[4.611, 0.000, 0.000], [-2.305, 3.993, 0.000], [0.000, 0.000, 45.611]],
  "species": ["K", "K", "K", "K", "K", "K", "Rb", "Rb", "Rb", "Hg", "Hg", "Hg"],
  "fractional_positions": [[0.000, 0.000, 0.079], [0.000, 0.000, 0.921], [0.333, 0.667, 0.588], [0.333, 0.667, 0.746], [0.667, 0.333, 0.254], [0.667, 0.333, 0.412], [0.000, 0.000, 0.500], [0.333, 0.667, 0.167], [0.667, 0.333, 0.833], [0.000, 0.000, 0.000], [0.333, 0.667, 0.667], [0.667, 0.333, 0.333]],
  "delta_e_f_ev_per_atom": 0.05,
  "dos_at_fermi_per_ev_cell": 11.92,
  "final_energy_ev_per_cell": -9.84,
  "spacegroup": "R-3m"
}

***

{
  "formula": "KRb4Hg2",
  "functional": "GGA-PBE",
  "state": "optimized geometry",
  "lattice_angstrom": [[3.188, 1.840, 12.271], [-3.188, 1.840, 12.271], [0.000, -3.681, 12.271]],
  "species": ["K", "Rb", "Rb", "Rb", "Rb", "Hg", "Hg"],
  "fractional_positions": [[0.000, 0.000, 0.000], [0.201, 0.201, 0.201], [0.399, 0.399, 0.399], [0.601, 0.601, 0.601], [0.799, 0.799, 0.799], [0.097, 0.097, 0.097], [0.903, 0.903, 0.903]],
  "delta_e_f_ev_per_atom": -0.10,
  "dos_at_fermi_per_ev_cell": 4.19,
  "final_energy_ev_per_cell": -6.28,
  "e_above_lowest_polymorph_mev_per_atom": 17.1,
  "spacegroup": "R-3m"
}

***

{
  "formula": "KRb3Hg4",
  "functional": "GGA-PBE",
  "state": "optimized geometry",
  "lattice_angstrom": [[12.985, 0.000, 0.000], [0.000, 8.292, 0.000], [0.000, 0.000, 6.469]],
  "species": ["K", "K", "Rb", "Rb", "Rb", "Rb", "Rb", "Rb", "Hg", "Hg", "Hg", "Hg", "Hg", "Hg", "Hg", "Hg"],
  "fractional_positions": [[0.000, 0.000, 0.000], [0.500, 0.000, 0.000], [0.000, 0.500, 0.000], [0.250, 0.000, 0.490], [0.250, 0.500, 0.498], [0.500, 0.500, 0.000], [0.750, 0.000, 0.510], [0.750, 0.500, 0.502], [0.000, 0.197, 0.500], [0.000, 0.803, 0.500], [0.250, 0.197, 0.989], [0.250, 0.803, 0.989], [0.500, 0.197, 0.500], [0.500, 0.803, 0.500], [0.750, 0.197, 0.011], [0.750, 0.803, 0.011]],
  "delta_e_f_ev_per_atom": -0.19,
  "dos_at_fermi_per_ev_cell": 10.69,
  "final_energy_ev_per_cell": -13.51,
  "spacegroup": "Pmma"
}

***

{
  "formula": "K2Rb3Hg2",
  "functional": "GGA-PBE",
  "state": "optimized geometry",
  "lattice_angstrom": [[16.018, 0.000, 0.000], [0.000, 4.924, 0.000], [-4.203, 0.000, 10.049]],
  "species": ["K", "K", "K", "K", "Rb", "Rb", "Rb", "Rb", "Rb", "Rb", "Hg", "Hg", "Hg", "Hg"],
  "fractional_positions": [[0.166, 0.000, 0.329], [0.334, 0.500, 0.671], [0.666, 0.500, 0.329], [0.834, 0.000, 0.671], [0.000, 0.500, 0.500], [0.121, 0.500, 0.938], [0.379, 0.000, 0.062], [0.500, 0.000, 0.500], [0.621, 0.000, 0.938], [0.879, 0.500, 0.062], [0.180, 0.000, 0.712], [0.320, 0.500, 0.288], [0.680, 0.500, 0.712], [0.820, 0.000, 0.288]],
  "delta_e_f_ev_per_atom": -0.14,
  "dos_at_fermi_per_ev_cell": 7.58,
  "final_energy_ev_per_cell": -13.35,
  "spacegroup": "C2/m"
}

***

{
  "formula": "K8RbHg6",
  "functional": "GGA-PBE",
  "state": "optimized geometry",
  "lattice_angstrom": [[5.193, 2.998, 7.337], [-5.193, 2.998, 7.337], [0.000, -5.997, 7.337]],
  "species": ["K", "K", "K", "K", "K", "K", "K", "K", "Rb", "Hg", "Hg", "Hg", "Hg", "Hg", "Hg"],
  "fractional_positions": [[0.054, 0.384, 0.717], [0.167, 0.167, 0.167], [0.283, 0.946, 0.616], [0.384, 0.717, 0.054], [0.616, 0.283, 0.946], [0.717, 0.054, 0.384], [0.833, 0.833, 0.833], [0.946, 0.616, 0.283], [0.500, 0.500, 0.500], [0.109, 0.794, 0.451], [0.206, 0.549, 0.891], [0.451, 0.109, 0.794], [0.549, 0.891, 0.206], [0.794, 0.451, 0.109], [0.891, 0.206, 0.549]],
  "delta_e_f_ev_per_atom": -0.17,
  "dos_at_fermi_per_ev_cell": 9.29,
  "final_energy_ev_per_cell": -14.10,
  "spacegroup": "R-3"
}

***

{
  "formula": "K2Rb4Hg",
  "functional": "GGA-PBE",
  "state": "optimized geometry",
  "lattice_angstrom": [[18.876, 0.000, 0.000], [0.000, 6.536, 0.000], [-3.940, 0.000, 8.167]],
  "species": ["K", "K", "K", "K", "Rb", "Rb", "Rb", "Rb", "Rb", "Rb", "Rb", "Rb", "Hg", "Hg"],
  "fractional_positions": [[0.201, 0.000, 0.301], [0.299, 0.500, 0.699], [0.701, 0.500, 0.301], [0.799, 0.000, 0.699], [0.033, 0.500, 0.258], [0.139, 0.000, 0.770], [0.361, 0.500, 0.230], [0.467, 0.000, 0.742], [0.533, 0.000, 0.258], [0.639, 0.500, 0.770], [0.861, 0.000, 0.230], [0.967, 0.500, 0.742], [0.000, 0.000, 0.000], [0.500, 0.500, 0.000]],
  "delta_e_f_ev_per_atom": -0.04,
  "dos_at_fermi_per_ev_cell": 9.97,
  "final_energy_ev_per_cell": -13.33,
  "e_above_lowest_polymorph_mev_per_atom": 0.2,
  "spacegroup": "C2/m"
}

***

{
  "formula": "KRb3Hg",
  "functional": "GGA-PBE",
  "state": "optimized geometry",
  "lattice_angstrom": [[15.608, 0.000, 0.000], [0.000, 15.608, 0.000], [0.000, 0.000, 5.443]],
  "species": ["K", "K", "K", "K", "Rb", "Rb", "Rb", "Rb", "Rb", "Rb", "Rb", "Rb", "Rb", "Rb", "Rb", "Rb", "Hg", "Hg", "Hg", "Hg"],
  "fractional_positions": [[0.192, 0.192, 0.000], [0.308, 0.692, 0.500], [0.692, 0.308, 0.500], [0.808, 0.808, 0.000], [0.004, 0.320, 0.500], [0.104, 0.896, 0.000], [0.180, 0.504, 0.000], [0.320, 0.004, 0.500], [0.396, 0.396, 0.500], [0.496, 0.820, 0.000], [0.504, 0.180, 0.000], [0.604, 0.604, 0.500], [0.680, 0.996, 0.500], [0.820, 0.496, 0.000], [0.896, 0.104, 0.000], [0.996, 0.680, 0.500], [0.071, 0.071, 0.500], [0.429, 0.571, 0.000], [0.571, 0.429, 0.000], [0.929, 0.929, 0.500]],
  "delta_e_f_ev_per_atom": -0.09,
  "dos_at_fermi_per_ev_cell": 15.82,
  "final_energy_ev_per_cell": -19.02,
  "e_above_lowest_polymorph_mev_per_atom": 1.1,
  "spacegroup": "P4_2/mnm"
}

***

{
  "formula": "K4RbHg2",
  "functional": "GGA-PBE",
  "state": "optimized geometry",
  "lattice_angstrom": [[3.010, 1.738, 12.521], [-3.010, 1.738, 12.521], [0.000, -3.476, 12.521]],
  "species": ["K", "K", "K", "K", "Rb", "Hg", "Hg"],
  "fractional_positions": [[0.093, 0.093, 0.093], [0.302, 0.302, 0.302], [0.698, 0.698, 0.698], [0.907, 0.907, 0.907], [0.500, 0.500, 0.500], [0.400, 0.400, 0.400], [0.600, 0.600, 0.600]],
  "delta_e_f_ev_per_atom": -0.11,
  "dos_at_fermi_per_ev_cell": 3.87,
  "final_energy_ev_per_cell": -6.71,
  "e_above_lowest_polymorph_mev_per_atom": 31.8,
  "spacegroup": "R-3m"
}

***

{
  "formula": "KRb2Hg6",
  "functional": "GGA-PBE",
  "state": "optimized geometry",
  "lattice_angstrom": [[9.543, 0.000, 0.000], [-4.772, 8.265, 0.000], [0.000, 0.000, 4.080]],
  "species": ["K", "Rb", "Rb", "Hg", "Hg", "Hg", "Hg", "Hg", "Hg"],
  "fractional_positions": [[0.000, 0.000, 0.000], [0.333, 0.667, 0.000], [0.667, 0.333, 0.000], [0.000, 0.330, 0.500], [0.000, 0.670, 0.500], [0.330, 0.000, 0.500], [0.330, 0.330, 0.500], [0.670, 0.000, 0.500], [0.670, 0.670, 0.500]],
  "delta_e_f_ev_per_atom": -0.25,
  "dos_at_fermi_per_ev_cell": 4.51,
  "final_energy_ev_per_cell": -7.11,
  "e_above_lowest_polymorph_mev_per_atom": 0.0,
  "spacegroup": "P6/mmm"
}

***

{
  "formula": "K12RbHg7",
  "functional": "GGA-PBE",
  "state": "optimized geometry",
  "lattice_angstrom": [[10.865, 6.273, 2.422], [-10.865, 6.273, 2.422], [0.000, -12.546, 2.422]],
  "species": ["K", "K", "K", "K", "K", "K", "K", "K", "K", "K", "K", "K", "Rb", "Hg", "Hg", "Hg", "Hg", "Hg", "Hg", "Hg"],
  "fractional_positions": [[0.030, 0.108, 0.343], [0.108, 0.343, 0.030], [0.184, 0.569, 0.723], [0.277, 0.816, 0.431], [0.343, 0.030, 0.108], [0.431, 0.277, 0.816], [0.569, 0.723, 0.184], [0.657, 0.970, 0.892], [0.723, 0.184, 0.569], [0.816, 0.431, 0.277], [0.892, 0.657, 0.970], [0.970, 0.892, 0.657], [0.500, 0.500, 0.500], [0.000, 0.000, 0.000], [0.163, 0.470, 0.389], [0.389, 0.163, 0.470], [0.470, 0.389, 0.163], [0.530, 0.611, 0.837], [0.611, 0.837, 0.530], [0.837, 0.530, 0.611]],
  "delta_e_f_ev_per_atom": -0.13,
  "dos_at_fermi_per_ev_cell": 14.11,
  "final_energy_ev_per_cell": -18.78,
  "spacegroup": "R-3"
}

***

| no. | calculated density (g/cm³) |
| --- | --- |
| 1 | 2.16 |
| 2 | 3.01 |
| 3 | 5.23 |
| 4 | 3.08 |
| 5 | 3.88 |
| 6 | 2.05 |
| 7 | 2.49 |
| 8 | 2.72 |
| 9 | 7.29 |
| 10 | 3.28 |